# 1
First-principles (PBE) data for a relaxed structure of Cs2RbLiAu, as listed in Alexandria via LeMat-Bulk.

Calculated values
- magnetization (μB/f.u.) = 0.000
- crystal system = tetragonal
- DFT total energy (eV/cell) = -8.20
- distance to the lowest polymorph of the same formula (meV per atom) = 0

Lattice parameters (Å, degrees): 7.2936 7.2936 5.5007 90.00 90.00 90.00
Closest atoms and distances in Å follow each position.
Space group P4/mmm (No. 123)
Asymmetric unit:
Cs 0.0000 0.5000 0.0000 [2 per cell]  2 Au 3.65
Rb 0.0000 0.0000 0.5000 [1 per cell]  8 Cs 4.57
Li 0.5000 0.5000 0.5000 [1 per cell]  2 Au 2.75
Au 0.5000 0.5000 0.0000 [1 per cell]  2 Li 2.75

# 2
First-principles (PBE) data for a relaxed structure of Zn2CdInPb, as listed in Alexandria via LeMat-Bulk.

Calculated values
- magnetization (μB/f.u.) = 0.000
- crystal system = tetragonal
- DFT total energy (eV/cell) = -7.32

Lattice parameters (Å, degrees): 5.3970 5.3970 5.7942 90.00 90.00 90.00
Closest atoms and distances in Å follow each position.
Space group P4/mmm (No. 123)
Asymmetric unit:
Zn 0.0000 0.5000 0.0000 [2 per cell]  2 Pb 2.70
Cd 0.0000 0.0000 0.5000 [1 per cell]  2 Pb 2.90
In 0.5000 0.5000 0.5000 [1 per cell]  4 Cd 3.82, 8 Zn 3.96
Pb 0.0000 0.0000 0.0000 [1 per cell]  4 Zn 2.70, 2 Cd 2.90

# 3
First-principles (PBE) data for a relaxed structure of CdCu2Pt, as listed in Alexandria via LeMat-Bulk.

Calculated values
- magnetization (μB/f.u.) = 0.000
- crystal system = orthorhombic
- DFT total energy (eV/cell) = -30.98

Lattice parameters (Å, degrees): 5.7279 7.0813 2.9363 90.00 90.00 90.00
Closest atoms and distances in Å follow each position.
Space group Cmmm (No. 65)
Asymmetric unit:
Cd 0.0000 0.0000 0.0000 [2 per cell]  8 Cu 2.71, 2 Pt 2.86, 2 Cd 2.94
Cu 0.2500 0.2500 0.5000 [4 per cell]  4 Cd 2.71, 4 Pt 2.71, 4 Cu 2.86-2.94
Pt 0.0000 0.5000 0.0000 [2 per cell]  8 Cu 2.71, 2 Cd 2.86, 2 Pt 2.94

# 4
First-principles (PBE) data for a relaxed structure of BeFe2Pt, as listed in Alexandria via LeMat-Bulk.

Calculated values
- magnetization (μB/f.u.) = 4.861
- crystal system = monoclinic
- DFT total energy (eV/cell) = -27.72

Lattice parameters (Å, degrees): 2.8703 2.8551 5.6971 90.00 90.12 90.00
Closest atoms and distances in Å follow each position.
Space group Pm (No. 6)
Asymmetric unit:
Be 0.0000 0.0000 0.0000 [1 per cell]  5 Fe 2.39-2.57, 4 Pt 2.45
Fe 0.0024 0.0000 0.5491 [1 per cell]  4 Fe 2.40-2.41, 1 Be 2.57, 4 Pt 2.68
Fe 0.4991 0.5000 0.7774 [1 per cell]  4 Be 2.39, 4 Fe 2.40-2.41, 1 Pt 2.64
Pt 0.5009 0.5000 0.2412 [1 per cell]  4 Be 2.45, 5 Fe 2.64-2.68

# 5
First-principles (PBE) data for a relaxed structure of LiCeSnIr, as listed in Alexandria via LeMat-Bulk.

Calculated values
- magnetization (μB/f.u.) = 0.110
- crystal system = cubic
- DFT total energy (eV/cell) = -92.59

Lattice parameters (Å, degrees): 6.7650 6.7650 6.7650 90.00 90.00 90.00
Closest atoms and distances in Å follow each position.
Space group F-43m (No. 216)
Asymmetric unit:
Li 0.0000 0.0000 0.0000 [4 per cell]  4 Sn 2.93, 4 Ce 2.93
Ce 0.2500 0.2500 0.2500 [4 per cell]  4 Li 2.93, 4 Ir 2.93
Sn 0.2500 0.2500 0.7500 [4 per cell]  4 Li 2.93, 4 Ir 2.93
Ir 0.0000 0.0000 0.5000 [4 per cell]  4 Sn 2.93, 4 Ce 2.93

# 6
First-principles (PBE) data for a relaxed structure of Tm2ScInS6, as listed in Alexandria via LeMat-Bulk.

Calculated values
- magnetization (μB/f.u.) = 0.000
- crystal system = trigonal
- DFT total energy (eV/cell) = -176.62
- ΔE_f (raw) (meV per atom) = -1610

Lattice parameters (Å, degrees): 6.6979 6.6979 17.9897 90.00 90.00 120.00
Closest atoms and distances in Å follow each position.
Space group R3 (No. 146, hexagonal axes)
Asymmetric unit:
Tm 0.0000 0.0000 0.0000 [3 per cell]  6 S 2.67-2.74
Tm 0.0000 0.0000 0.4944 [3 per cell]  6 S 2.69-2.71
Sc 0.0000 0.0000 0.7997 [3 per cell]  6 S 2.56-2.66
In 0.0000 0.0000 0.2939 [3 per cell]  6 S 2.59-2.77
S 0.0068 0.7035 0.8965 [9 per cell]  1 In 2.59, 1 Sc 2.66, 2 Tm 2.69-2.74
S 0.0162 0.3683 0.0636 [9 per cell]  1 Sc 2.56, 2 Tm 2.67-2.71, 1 In 2.77

# 7
First-principles (PBE) data for a relaxed structure of TaNiSb2, as listed in Alexandria via LeMat-Bulk.

Calculated values
- magnetization (μB/f.u.) = 0.000
- crystal system = cubic
- DFT total energy (eV/cell) = -98.28
- ΔE_f (raw) (meV per atom) = 327
- distance to the lowest polymorph of the same formula (meV per atom) = 398

Lattice parameters (Å, degrees): 6.7453 6.7453 6.7453 90.00 90.00 90.00
Closest atoms and distances in Å follow each position.
Space group Fm-3m (No. 225)
Asymmetric unit:
Ta 0.0000 0.0000 0.0000 [4 per cell]  8 Sb 2.92
Ni 0.0000 0.0000 0.5000 [4 per cell]  8 Sb 2.92
Sb 0.2500 0.2500 0.2500 [8 per cell]  4 Ta 2.92, 4 Ni 2.92

# 8
First-principles (PBE) data for a relaxed structure of ZrZn2InH, as listed in Alexandria via LeMat-Bulk.

Calculated values
- magnetization (μB/f.u.) = 0.000
- crystal system = tetragonal
- DFT total energy (eV/cell) = -18.04
- distance to the lowest polymorph of the same formula (meV per atom) = 0

Lattice parameters (Å, degrees): 4.2841 4.2841 4.1582 90.00 90.00 90.00
Closest atoms and distances in Å follow each position.
Space group P4/mmm (No. 123)
Asymmetric unit:
Zr 0.0000 0.0000 0.0000 [1 per cell]  2 H 2.08
Zn 0.0000 0.5000 0.5000 [2 per cell]  2 H 2.14
In 0.5000 0.5000 0.0000 [1 per cell]  8 Zn 2.99, 4 Zr 3.03
H 0.0000 0.0000 0.5000 [1 per cell]  2 Zr 2.08, 4 Zn 2.14

# 9
First-principles (PBE) data for a relaxed structure of ZnCo2Os, as listed in Alexandria via LeMat-Bulk.

Calculated values
- magnetization (μB/f.u.) = 1.417
- crystal system = orthorhombic
- DFT total energy (eV/cell) = -25.91

Lattice parameters (Å, degrees): 2.6075 3.6628 5.2107 90.00 90.00 90.00
Closest atoms and distances in Å follow each position.
Space group Pmm2 (No. 25)
Asymmetric unit:
Zn 0.0000 0.0000 0.0000 [1 per cell]  6 Co 2.55-2.65, 2 Zn 2.61, 4 Os 2.73
Co 0.0000 0.0000 0.4913 [1 per cell]  4 Os 2.50, 2 Zn 2.56-2.65, 6 Co 2.61-2.63
Co 0.5000 0.5000 0.2297 [1 per cell]  2 Os 2.46-2.75, 4 Zn 2.55, 6 Co 2.61-2.63
Os 0.5000 0.5000 0.7020 [1 per cell]  6 Co 2.46-2.75, 2 Os 2.61, 4 Zn 2.73

# 10
First-principles (PBE) data for a relaxed structure of TbSi2Pd, as listed in Alexandria via LeMat-Bulk.

Calculated values
- magnetization (μB/f.u.) = 0.000
- crystal system = orthorhombic
- DFT total energy (eV/cell) = -45.43
- ΔE_f (raw) (meV per atom) = -512

Lattice parameters (Å, degrees): 3.9082 6.1277 6.9155 90.00 90.00 90.00
Closest atoms and distances in Å follow each position.
Space group Amm2 (No. 38)
Asymmetric unit:
Tb 0.0000 0.0000 0.0000 [2 per cell]  8 Si 3.07-3.08, 2 Pd 3.31
Si 0.5000 0.1835 0.6996 [4 per cell]  1 Si 2.25, 2 Pd 2.33-2.44
Pd 0.5000 0.0000 0.3861 [2 per cell]  4 Si 2.33-2.44

# 11
First-principles (PBE) data for a relaxed structure of Cu3Tc, as listed in Alexandria via LeMat-Bulk.

Calculated values
- magnetization (μB/f.u.) = 0.000
- crystal system = trigonal
- DFT total energy (eV/cell) = -64.98

Lattice parameters (Å, degrees): 8.5192 8.5192 2.4536 90.00 90.00 120.00
Closest atoms and distances in Å follow each position.
Space group R-3m (No. 166, hexagonal axes)
Asymmetric unit:
Cu 0.0000 0.5000 0.0000 [9 per cell]  6 Cu 2.45-2.59, 2 Tc 2.59
Tc 0.0000 0.0000 0.0000 [3 per cell]  2 Tc 2.45, 6 Cu 2.59

# 12
First-principles (PBE) data for a relaxed structure of TlIr2W, as listed in Alexandria via LeMat-Bulk.

Calculated values
- magnetization (μB/f.u.) = 0.000
- crystal system = tetragonal
- DFT total energy (eV/cell) = -121.21
- distance to the lowest polymorph of the same formula (meV per atom) = 614

Lattice parameters (Å, degrees): 7.3700 7.3700 5.6499 90.00 90.00 90.00
Closest atoms and distances in Å follow each position.
Space group I-42d (No. 122)
Asymmetric unit:
Tl 0.0000 0.0000 0.0000 [4 per cell]  2 W 2.82, 4 Ir 2.94
Ir 0.2050 0.2500 0.6250 [8 per cell]  2 W 2.49
W 0.0000 0.0000 0.5000 [4 per cell]  4 Ir 2.49